No. 1
Density functional theory data (PBE) for a relaxed structure of Ce2ScAu.

Its calculated volume is 408.8 Å³/cell. For the formation energy from the elements, the calculation gives -0.08 eV per atom. The total moment is 2.34 μB/f.u. The excess energy over the best structure of this formula in the dataset comes out at 195 meV/atom.

The space group is Fm-3m (No. 225) and the conventional cell measures 7.422, 7.422 and 7.422 Å, with angles of 90.00, 90.00 and 90.00 degrees. Symmetry generates all atoms from Ce at (0.250, 0.250, 0.250), Sc at (0.000, 0.000, 0.000) and Au at (0.000, 0.000, 0.500).



No. 2
Density functional theory data (PBE) for a relaxed structure of CaAcPt10.

Its calculated volume is 228.8 Å³/cell. For the formation energy from the elements, the calculation gives -0.66 eV per atom. The total moment is 0.00 μB/f.u.

The space group is Pmmm (No. 47) and the conventional cell measures 4.420, 5.478 and 9.450 Å, with angles of 90.00, 90.00 and 90.00 degrees. Symmetry generates all atoms from Ca at (0.000, 0.000, 0.000), Ac at (0.000, 0.500, 0.500), Pt at (0.000, 0.000, 0.327), Pt at (0.000, 0.500, 0.161), Pt at (0.500, 0.000, 0.500), Pt at (0.500, 0.250, 0.249) and Pt at (0.500, 0.500, 0.000).



No. 3
Density functional theory data (PBE) for a relaxed structure of BaTlPSe4.

Its calculated volume is 453.8 Å³/cell. The value obtained for the raw formation energy is -0.8140 eV/atom. The total moment is 0.00 μB/f.u.

The space group is P2_1/m (No. 11) and the conventional cell measures 7.112, 7.066 and 9.412 Å, with angles of 90.00, 106.35 and 90.00 degrees. Symmetry generates all atoms from Ba at (0.226, 0.250, 0.041), Tl at (0.265, 0.250, 0.566), P at (0.193, 0.750, 0.784), Se at (0.006, 0.501, 0.268), Se at (0.330, 0.750, 0.030) and Se at (0.405, 0.750, 0.653).



No. 4
Density functional theory data (PBE) for a relaxed structure of ScPHO2.

Its calculated volume is 89.3 Å³/cell. The total moment is 2.02 μB/f.u. The excess energy over the best structure of this formula in the dataset comes out at 322 meV/atom.

The space group is P4/mmm (No. 123) and the conventional cell measures 3.948, 3.948 and 5.732 Å, with angles of 90.00, 90.00 and 90.00 degrees. Symmetry generates all atoms from Sc at (0.000, 0.000, 0.000), P at (0.000, 0.000, 0.500), H at (0.500, 0.500, 0.500) and O at (0.000, 0.500, 0.000).



No. 5
Density functional theory data (PBE) for a relaxed structure of ZrSiAg2.

Its calculated volume is 75.8 Å³/cell. The value obtained for the raw formation energy is 0.0993 eV/atom. The total moment is 0.34 μB/f.u.

The space group is P4/mmm (No. 123) and the conventional cell measures 3.655, 3.655 and 5.674 Å, with angles of 90.00, 90.00 and 90.00 degrees. Symmetry generates all atoms from Zr at (0.000, 0.000, 0.000), Si at (0.000, 0.000, 0.500) and Ag at (0.500, 0.500, 0.256).



No. 6
Density functional theory data (PBE) for a relaxed structure of Sc3Be3Ni2.

Its calculated volume is 467.5 Å³/cell. For the formation energy from the elements, the calculation gives -0.28 eV per atom. The total moment is 0.00 μB/f.u.

The space group is Pnma (No. 62) and the conventional cell measures 6.549, 13.553 and 5.267 Å, with angles of 90.00, 90.00 and 90.00 degrees. Symmetry generates all atoms from Sc at (0.029, 0.105, 0.128), Sc at (0.157, 0.250, 0.625), Be at (0.156, 0.034, 0.589), Be at (0.190, 0.750, 0.606) and Ni at (0.139, 0.605, 0.362).



No. 7
Density functional theory data (PBE) for a relaxed structure of Li2NdAsN.

Its calculated volume is 322.8 Å³/cell. The value obtained for the raw formation energy is -0.8237 eV/atom. The total moment is 0.00 μB/f.u.

The space group is Cmcm (No. 63) and the conventional cell measures 3.412, 12.750 and 7.421 Å, with angles of 90.00, 90.00 and 90.00 degrees. Symmetry generates all atoms from Li at (0.000, 0.154, 0.045), Nd at (0.000, 0.470, 0.250), As at (0.000, 0.254, 0.750) and N at (0.000, 0.000, 0.000).



No. 8
Density functional theory data (PBE) for a relaxed structure of MgMo2.

Its calculated volume is 58.0 Å³/cell. For the formation energy from the elements, the calculation gives 1.50 eV per atom. The total moment is 0.00 μB/f.u. The excess energy over the best structure of this formula in the dataset comes out at 1320 meV/atom.

The space group is P4/mmm (No. 123) and the conventional cell measures 4.756, 4.756 and 2.563 Å, with angles of 90.00, 90.00 and 90.00 degrees. Symmetry generates all atoms from Mg at (0.000, 0.000, 0.000) and Mo at (0.000, 0.500, 0.500).



No. 9
Density functional theory data (PBE) for a relaxed structure of USeS2.

Its calculated volume is 261.5 Å³/cell. The value obtained for the raw formation energy is 0.4100 eV/atom. The total moment is 2.77 μB/f.u. The excess energy over the best structure of this formula in the dataset comes out at 1304 meV/atom.

The space group is R-3m (No. 166, hexagonal axes) and the conventional cell measures 3.4097, 3.4097 and 25.9718 Å, with angles of 90.00, 90.00 and 120.00 degrees. Symmetry generates all atoms from U at (0.0000, 0.0000, 0.0000), Se at (0.0000, 0.0000, 0.5000) and S at (0.0000, 0.0000, 0.0983).



No. 10
Density functional theory data (PBE) for a relaxed structure of LiSi2Ag.

Its calculated volume is 63.7 Å³/cell. The value obtained for the raw formation energy is 0.0644 eV/atom. The total moment is 0.00 μB/f.u. The excess energy over the best structure of this formula in the dataset comes out at 15 meV/atom.

The space group is Pm (No. 6) and the conventional cell measures 2.716, 4.457 and 5.263 Å, with angles of 90.00, 90.08 and 90.00 degrees. Symmetry generates all atoms from Li at (0.000, 0.000, 0.000), Si at (0.501, 0.000, 0.515), Si at (0.502, 0.500, 0.743) and Ag at (0.498, 0.500, 0.227).



No. 11
Density functional theory data (PBE) for a relaxed structure of Zn2AgF8.

Its calculated volume is 367.0 Å³/cell. The value obtained for the raw formation energy is -1.5077 eV/atom. The total moment is 1.08 μB/f.u.

The space group is C2/m (No. 12) and the conventional cell measures 9.642, 5.069 and 7.746 Å, with angles of 90.00, 104.21 and 90.00 degrees. Symmetry generates all atoms from Zn at (0.126, 0.000, 0.412), Ag at (0.000, 0.000, 0.000), F at (0.083, 0.000, 0.651), F at (0.099, 0.248, 0.183) and F at (0.176, 0.500, 0.507).



No. 12
Density functional theory data (PBE) for a relaxed structure of Er2NiGe.

Its calculated volume is 81.8 Å³/cell. For the formation energy from the elements, the calculation gives -0.55 eV per atom. The total moment is 0.00 μB/f.u.

The space group is P4/mmm (No. 123) and the conventional cell measures 3.401, 3.401 and 7.072 Å, with angles of 90.00, 90.00 and 90.00 degrees. Symmetry generates all atoms from Er at (0.000, 0.000, 0.233), Ni at (0.500, 0.500, 0.000) and Ge at (0.500, 0.500, 0.500).



No. 13
Density functional theory data (PBE) for a relaxed structure of Ho3Zn8Cu3.

Its calculated volume is 482.0 Å³/cell. For the formation energy from the elements, the calculation gives -0.29 eV per atom. The total moment is 0.00 μB/f.u.

The space group is Immm (No. 71) and the conventional cell measures 4.315, 8.800 and 12.694 Å, with angles of 90.00, 90.00 and 90.00 degrees. Symmetry generates all atoms from Ho at (0.000, 0.000, 0.000), Ho at (0.000, 0.000, 0.299), Zn at (0.000, 0.288, 0.128), Zn at (0.000, 0.357, 0.340), Cu at (0.000, 0.181, 0.500) and Cu at (0.000, 0.500, 0.000).



No. 14
Density functional theory data (PBE) for a relaxed structure of CdCu.

Its calculated volume is 224.9 Å³/cell. For the formation energy from the elements, the calculation gives 0.09 eV per atom. The total moment is 0.00 μB/f.u.

The space group is P6_3/mmc (No. 194) and the conventional cell measures 7.8866, 7.8866 and 4.1747 Å, with angles of 90.00, 90.00 and 120.00 degrees. Symmetry generates all atoms from Cd at (0.1832, 0.3664, 0.2500) and Cu at (0.1183, 0.5592, 0.7500).



No. 15
Density functional theory data (PBE) for a relaxed structure of YPuGe2.

Its calculated volume is 186.8 Å³/cell. For the formation energy from the elements, the calculation gives -0.63 eV per atom. The total moment is 5.94 μB/f.u.

The space group is Pmc2_1 (No. 26) and the conventional cell measures 3.938, 5.831 and 8.135 Å, with angles of 90.00, 90.00 and 90.00 degrees. Symmetry generates all atoms from Y at (0.000, 0.135, 0.000), Pu at (0.500, 0.366, 0.363), Ge at (0.000, 0.388, 0.644) and Ge at (0.500, 0.106, 0.721).



No. 16
Density functional theory data (PBE) for a relaxed structure of VNi5Ge.

Its calculated volume is 329.6 Å³/cell. For the formation energy from the elements, the calculation gives -0.15 eV per atom. The total moment is 0.00 μB/f.u. The excess energy over the best structure of this formula in the dataset comes out at 0 meV/atom.

The space group is C2/c (No. 15) and the conventional cell measures 6.057, 6.815 and 8.523 Å, with angles of 90.00, 110.48 and 90.00 degrees. Symmetry generates all atoms from V at (0.000, 0.013, 0.250), Ni at (0.000, 0.363, 0.250), Ni at (0.106, 0.157, 0.539), Ni at (0.204, 0.307, 0.846) and Ge at (0.000, 0.500, 0.000).



No. 17
Density functional theory data (PBE) for a relaxed structure of Tm2Zn2Ag.

Its calculated volume is 430.8 Å³/cell. For the formation energy from the elements, the calculation gives -0.29 eV per atom. The total moment is 0.00 μB/f.u.

The space group is C2/m (No. 12) and the conventional cell measures 10.551, 4.498 and 10.126 Å, with angles of 90.00, 116.32 and 90.00 degrees. Symmetry generates all atoms from Tm at (0.011, 0.000, 0.330), Tm at (0.189, 0.000, 0.106), Zn at (0.028, 0.500, 0.888), Zn at (0.132, 0.500, 0.566) and Ag at (0.226, 0.500, 0.345).



No. 18
Density functional theory data (PBE) for a relaxed structure of CaAg3Te.

Its calculated volume is 155.4 Å³/cell. The value obtained for the raw formation energy is 0.2648 eV/atom. The total moment is 0.00 μB/f.u. The excess energy over the best structure of this formula in the dataset comes out at 0 meV/atom.

The space group is Pm-3m (No. 221) and the conventional cell measures 5.376, 5.376 and 5.376 Å, with angles of 90.00, 90.00 and 90.00 degrees. Symmetry generates all atoms from Ca at (0.000, 0.000, 0.000), Ag at (0.000, 0.500, 0.500) and Te at (0.500, 0.500, 0.500).



No. 19
Density functional theory data (PBE) for a relaxed structure of YTe4As.

Its calculated volume is 688.0 Å³/cell. The value obtained for the raw formation energy is 0.2089 eV/atom. The total moment is 0.00 μB/f.u.

The space group is F-43m (No. 216) and the conventional cell measures 8.828, 8.828 and 8.828 Å, with angles of 90.00, 90.00 and 90.00 degrees. Symmetry generates all atoms from Y at (0.000, 0.000, 0.000), Te at (0.125, 0.125, 0.375) and As at (0.250, 0.250, 0.750).



No. 20
Density functional theory data (PBE) for a relaxed structure of SrErNp2O8.

Its calculated volume is 310.7 Å³/cell. The value obtained for the raw formation energy is -3.0082 eV/atom. The total moment is 3.00 μB/f.u.

The space group is I-4m2 (No. 119) and the conventional cell measures 5.415, 5.415 and 10.595 Å, with angles of 90.00, 90.00 and 90.00 degrees. Symmetry generates all atoms from Sr at (0.000, 0.000, 0.000), Er at (0.000, 0.500, 0.750), Np at (0.000, 0.000, 0.500), Np at (0.000, 0.500, 0.250) and O at (0.226, 0.240, 0.371).



No. 21
Density functional theory data (PBE) for a relaxed structure of Ba2ZnAgSn6.

Its calculated volume is 1845.7 Å³/cell. For the formation energy from the elements, the calculation gives -0.24 eV per atom. The total moment is 0.00 μB/f.u.

The space group is R-3m (No. 166, hexagonal axes) and the conventional cell measures 7.3132, 7.3132 and 39.8498 Å, with angles of 90.00, 90.00 and 120.00 degrees. Symmetry generates all atoms from Ba at (0.0000, 0.0000, 0.1148), Ba at (0.0000, 0.0000, 0.2932), Zn at (0.0000, 0.0000, 0.4317), Ag at (0.0000, 0.0000, 0.0000), Ag at (0.0000, 0.0000, 0.5000), Sn at (0.0535, 0.5268, 0.2905) and Sn at (0.0639, 0.5320, 0.8709).



No. 22
Density functional theory data (PBE) for a relaxed structure of Zn2CuCl.

Its calculated volume is 160.7 Å³/cell. The value obtained for the raw formation energy is -0.0741 eV/atom. The total moment is 0.00 μB/f.u. The excess energy over the best structure of this formula in the dataset comes out at 29 meV/atom.

The space group is C2/m (No. 12) and the conventional cell measures 8.236, 3.344 and 7.112 Å, with angles of 90.00, 124.87 and 90.00 degrees. Symmetry generates all atoms from Zn at (0.122, 0.000, 0.344), Cu at (0.000, 0.500, 0.500) and Cl at (0.000, 0.500, 0.000).



No. 23
Density functional theory data (PBE) for a relaxed structure of Ac4NiOsI2.

Its calculated volume is 284.5 Å³/cell. The value obtained for the raw formation energy is -0.6970 eV/atom. The total moment is 0.00 μB/f.u.

The space group is P2/m (No. 10) and the conventional cell measures 7.522, 4.373 and 9.010 Å, with angles of 90.00, 106.28 and 90.00 degrees. Symmetry generates all atoms from Ac at (0.223, 0.000, 0.186), Ac at (0.268, 0.500, 0.818), Ni at (0.500, 0.000, 0.000), Os at (0.000, 0.500, 0.000), I at (0.000, 0.000, 0.500) and I at (0.500, 0.500, 0.500).